(1)
Compound: BiSbO3
Source: the Alexandria database
Functional: meta-GGA SCAN
Structure: single point on PBEsol structure

a b c (Å): 4.3082 4.3082 4.3082
angles (deg): 90.00 90.00 90.00
Fractional positions:
Bi 0.0000 0.0000 0.0000
Sb 0.5000 0.5000 0.5000
O 0.0000 0.0000 0.5000
O 0.0000 0.5000 0.0000
O 0.5000 0.0000 0.0000

Calculated values
Its uncorrected formation energy is -137 kJ/mol of formula units. As for the density of states at the Fermi level: 2.5 states/eV/cell. The space group is Pm-3m.

(2)
Compound: Cr2CuIr
Source: the Alexandria database
Functional: meta-GGA SCAN
Structure: single point on PBEsol structure

a b c (Å): 2.5984 4.1114 4.5072
angles (deg): 90.00 90.00 90.00
Fractional positions:
Cr 0.0000 0.0000 0.0000
Cr 0.0000 0.5000 0.3233
Cu 0.5000 0.5000 0.8379
Ir 0.5000 0.0000 0.5015

Calculated values
As for the density of states at the Fermi level: 3.6 states/eV/cell. The space group is Pmm2. The total energy is -30.770 eV per atom.

(3)
Compound: Nd3Si3Ni
Source: the Alexandria database
Functional: meta-GGA SCAN
Structure: single point on PBEsol structure

a b c (Å): 3.9869 4.2395 17.7896
angles (deg): 90.00 90.00 90.00
Fractional positions:
Nd 0.0000 0.0000 0.0000
Nd 0.0000 0.0000 0.3664
Nd 0.0000 0.5000 0.6807
Nd 0.5000 0.0000 0.1807
Nd 0.5000 0.5000 0.5000
Nd 0.5000 0.5000 0.8664
Si 0.0000 0.0000 0.5478
Si 0.0000 0.0000 0.8204
Si 0.0000 0.5000 0.2388
Si 0.5000 0.0000 0.7388
Si 0.5000 0.5000 0.0478
Si 0.5000 0.5000 0.3204
Ni 0.0000 0.5000 0.1133
Ni 0.5000 0.0000 0.6133

Calculated values
Its uncorrected formation energy is -515 kJ/mol of formula units. As for the density of states at the Fermi level: 9.0 states/eV/cell. The space group is Imm2.

(4)
Compound: Li2Be2Cd
Source: the Alexandria database
Functional: meta-GGA SCAN
Structure: single point on PBEsol structure

a b c (Å): 6.7627 6.7627 2.7720
angles (deg): 90.00 90.00 90.00
Fractional positions:
Li 0.1403 0.3597 0.0000
Li 0.3597 0.8597 0.0000
Li 0.6403 0.1403 0.0000
Li 0.8597 0.6403 0.0000
Be 0.1454 0.6454 0.5000
Be 0.3546 0.1454 0.5000
Be 0.6454 0.8546 0.5000
Be 0.8546 0.3546 0.5000
Cd 0.0000 0.0000 0.0000
Cd 0.5000 0.5000 0.0000

Calculated values
As for the density of states at the Fermi level: 1.4 states/eV/cell. The space group is P4/mbm. The total energy is -8.490 eV per atom.

(5)
Compound: MnFePt2
Source: the Alexandria database
Functional: meta-GGA SCAN
Structure: single point on PBEsol structure

a b c (Å): 5.4434 7.3684 2.7289
angles (deg): 90.00 90.00 90.00
Fractional positions:
Mn 0.0000 0.0000 0.0000
Mn 0.5000 0.5000 0.0000
Fe 0.0000 0.5000 0.0000
Fe 0.5000 0.0000 0.0000
Pt 0.2500 0.2500 0.5000
Pt 0.2500 0.7500 0.5000
Pt 0.7500 0.2500 0.5000
Pt 0.7500 0.7500 0.5000

Calculated values
As for the density of states at the Fermi level: 5.0 states/eV/cell. The space group is Cmmm. The total energy is -44.771 eV per atom.

(6)
Compound: TePt2Rh
Source: the Alexandria database
Functional: meta-GGA SCAN
Structure: single point on PBEsol structure

a b c (Å): 8.5779 3.4655 4.6365
angles (deg): 90.00 106.40 90.00
Fractional positions:
Te 0.0000 0.0000 0.0000
Te 0.5000 0.5000 0.0000
Pt 0.0038 0.5000 0.5200
Pt 0.2542 0.5000 0.2859
Pt 0.5038 0.0000 0.5200
Pt 0.7542 0.0000 0.2859
Rh 0.2565 0.0000 0.7842
Rh 0.7565 0.5000 0.7842

Calculated values
Its uncorrected formation energy is 9 kJ/mol of formula units. As for the density of states at the Fermi level: 5.3 states/eV/cell. The value obtained for the excess energy over the best structure of this formula in the dataset is 0.000 eV/atom. The space group is Cm.

What is the formula in the third record?
Nd3Si3Ni